1.
GaAg4Au2 after structural relaxation. Source: the Alexandria database, functional PBE-GGA.

a b c (Å): 5.6470 5.6470 4.1651
angles (deg): 90.00 90.00 93.35
With the nearest neighbours (Å) after each atom.
Fractional positions:
Ga1 0.0000 0.0000 0.0000  4 Au 2.66, 4 Ag 2.82
Ag1 0.0000 0.5000 0.0000  2 Ga 2.82, 4 Au 2.87, 4 Ag 2.97
Ag2 0.3131 0.3131 0.5000  4 Au 2.85-2.94, 5 Ag 2.90-2.97
Ag3 0.5000 0.0000 0.0000  2 Ga 2.82, 4 Au 2.87, 4 Ag 2.97
Ag4 0.6869 0.6869 0.5000  4 Au 2.85-2.94, 5 Ag 2.90-2.97
Au1 0.2014 0.7986 0.5000  2 Ga 2.66, 8 Ag 2.85-2.94
Au2 0.7986 0.2014 0.5000  2 Ga 2.66, 8 Ag 2.85-2.94

2.
GaAg4Au2 after structural relaxation. Source: the Alexandria database, functional PBE-GGA.

a b c (Å): 5.1051 6.5386 7.7106
angles (deg): 90.53 90.25 105.04
With the nearest neighbours (Å) after each atom.
Fractional positions:
Ga1 0.1321 0.4173 0.1480  3 Au 2.83-2.88, 8 Ag 2.88-2.99, 1 Ga 3.00
Ga2 0.8679 0.5827 0.8520  3 Au 2.83-2.88, 8 Ag 2.88-2.99, 1 Ga 3.00
Ag1 0.2852 0.8525 0.2860  6 Ag 2.89-2.99, 5 Au 2.92-2.95, 1 Ga 2.94
Ag2 0.2855 0.3595 0.7890  6 Ag 2.87-2.95, 3 Ga 2.92-2.99, 3 Au 2.93-2.94
Ag3 0.4276 0.7814 0.9316  6 Ag 2.87-2.99, 3 Ga 2.88-2.99, 3 Au 2.94-2.95
Ag4 0.4286 0.2846 0.4274  1 Ga 2.89, 6 Ag 2.92-2.95, 5 Au 2.93-2.96
Ag5 0.5714 0.7154 0.5726  1 Ga 2.89, 6 Ag 2.92-2.95, 5 Au 2.93-2.96
Ag6 0.5724 0.2186 0.0684  6 Ag 2.87-2.99, 3 Ga 2.88-2.99, 3 Au 2.94-2.95
Ag7 0.7145 0.6405 0.2110  6 Ag 2.87-2.95, 3 Ga 2.92-2.99, 3 Au 2.93-2.94
Ag8 0.7148 0.1475 0.7140  6 Ag 2.89-2.99, 5 Au 2.92-2.95, 1 Ga 2.94
Au1 0.0000 0.0000 0.0000  2 Ga 2.86, 2 Au 2.90, 8 Ag 2.93-2.95
Au2 0.0000 0.5000 0.5000  2 Ga 2.88, 2 Au 2.91, 8 Ag 2.92-2.95
Au3 0.1413 0.9268 0.6458  1 Ga 2.83, 3 Au 2.90-2.96, 8 Ag 2.93-2.96
Au4 0.8587 0.0732 0.3542  1 Ga 2.83, 3 Au 2.90-2.96, 8 Ag 2.93-2.96

Relative to the most stable one, in eV/atom, the structures come out at 1 0.040; 2 0.000.

1.
GaAg3Au4 after structural relaxation. Source: the Alexandria database, functional PBE-GGA.

a b c (Å): 10.2894 10.2894 2.9950
angles (deg): 98.11 98.11 27.18
With the nearest neighbours (Å) after each atom.
Fractional positions:
Ga1 0.0000 0.0000 0.0000  4 Au 2.63-2.64, 4 Ag 2.84
Ag1 0.2349 0.2349 0.2350  6 Au 2.89-3.08, 6 Ag 2.91-2.99
Ag2 0.5000 0.5000 0.5000  4 Ga 2.84, 2 Ag 2.99, 4 Au 3.11-3.13
Ag3 0.7651 0.7651 0.7650  6 Au 2.89-3.08, 6 Ag 2.91-2.99
Au1 0.1097 0.1097 0.6105  2 Ga 2.63-2.64, 2 Ag 2.89-2.90, 4 Au 2.90
Au2 0.3616 0.3616 0.8605  6 Au 2.90-2.99, 6 Ag 2.92-3.13
Au3 0.6384 0.6384 0.1395  6 Au 2.90-2.99, 6 Ag 2.92-3.13
Au4 0.8903 0.8903 0.3895  2 Ga 2.63-2.64, 2 Ag 2.89-2.90, 4 Au 2.90

2.
GaAg3Au4 after structural relaxation. Source: the Alexandria database, functional PBE-GGA.

a b c (Å): 8.7031 8.6986 4.1712
angles (deg): 76.19 76.07 27.74
With the nearest neighbours (Å) after each atom.
Fractional positions:
Ga1 0.0000 0.0000 0.0000  8 Au 2.89, 4 Ag 2.94-2.96
Ag1 0.2515 0.2515 0.7485  8 Au 2.93-2.97, 4 Ag 2.94-2.96
Ag2 0.5000 0.5000 0.5000  8 Au 2.89, 4 Ga 2.94-2.96
Ag3 0.7485 0.7485 0.2515  8 Au 2.93-2.97, 4 Ag 2.94-2.96
Au1 0.1225 0.1225 0.3775  2 Ga 2.89, 6 Ag 2.89-2.97, 4 Au 2.94-2.96
Au2 0.3775 0.3775 0.1225  6 Ag 2.89-2.97, 2 Ga 2.89, 4 Au 2.94-2.96
Au3 0.6225 0.6225 0.8775  2 Ga 2.89, 6 Ag 2.89-2.97, 4 Au 2.94-2.96
Au4 0.8775 0.8775 0.6225  6 Ag 2.89-2.97, 2 Ga 2.89, 4 Au 2.94-2.96

Relative to the most stable one, in eV/atom, the structures come out at 1 0.033; 2 0.000.

1.
GaAg2Au4 after structural relaxation. Source: the Alexandria database, functional PBE-GGA.

a b c (Å): 5.6323 5.6323 4.1782
angles (deg): 90.00 90.00 93.12
With the nearest neighbours (Å) after each atom.
Fractional positions:
Ga1 0.0000 0.0000 0.0000  8 Au 2.67-2.82
Ag1 0.3118 0.3118 0.5000  8 Au 2.83-2.96, 1 Ag 2.92
Ag2 0.6882 0.6882 0.5000  8 Au 2.83-2.96, 1 Ag 2.92
Au1 0.0000 0.5000 0.0000  2 Ga 2.82, 4 Au 2.87, 4 Ag 2.96
Au2 0.2027 0.7973 0.5000  2 Ga 2.67, 4 Ag 2.83-2.93, 4 Au 2.87
Au3 0.5000 0.0000 0.0000  2 Ga 2.82, 4 Au 2.87, 4 Ag 2.96
Au4 0.7973 0.2027 0.5000  2 Ga 2.67, 4 Ag 2.83-2.93, 4 Au 2.87

2.
GaAg2Au4 after structural relaxation. Source: the Alexandria database, functional PBE-GGA.

a b c (Å): 7.4256 7.4256 6.7093
angles (deg): 115.52 115.52 22.84
With the nearest neighbours (Å) after each atom.
Fractional positions:
Ga1 0.0000 0.0000 0.0000  6 Au 2.67-2.70, 2 Ga 2.94, 2 Ag 2.99
Ag1 0.2279 0.2279 0.1811  6 Au 2.85-2.91, 4 Ag 2.94-3.14, 1 Ga 2.99
Ag2 0.7721 0.7721 0.8189  6 Au 2.85-2.91, 4 Ag 2.94-3.14, 1 Ga 2.99
Au1 0.0870 0.0870 0.7226  1 Ga 2.67, 3 Ag 2.85-2.88, 5 Au 2.94-2.96
Au2 0.3892 0.3892 0.6341  2 Ga 2.70, 3 Ag 2.91, 4 Au 2.94-2.96
Au3 0.6108 0.6108 0.3659  2 Ga 2.70, 3 Ag 2.91, 4 Au 2.94-2.96
Au4 0.9130 0.9130 0.2774  1 Ga 2.67, 3 Ag 2.85-2.88, 5 Au 2.94-2.96

Relative to the most stable one, in eV/atom, the structures come out at 1 0.000; 2 0.009.

1.
GaAg3Au2 after structural relaxation. Source: the Alexandria database, functional PBE-GGA.

a b c (Å): 6.4413 6.4413 5.4429
angles (deg): 90.07 90.07 98.11
With the nearest neighbours (Å) after each atom.
Fractional positions:
Ga1 0.0112 0.9888 0.7500  2 Au 2.65, 2 Ga 2.73, 1 Ag 2.77
Ga2 0.9888 0.0112 0.2500  2 Au 2.65, 2 Ga 2.73, 1 Ag 2.77
Ag1 0.2738 0.7262 0.2500  1 Ga 2.77, 6 Au 2.79-3.10, 4 Ag 2.99-3.00
Ag2 0.3212 0.3217 0.5001  5 Ag 2.72-3.01, 4 Au 2.87-2.99, 2 Ga 3.04
Ag3 0.3217 0.3212 0.0001  5 Ag 2.72-3.01, 4 Au 2.87-2.99, 2 Ga 3.04
Ag4 0.6783 0.6788 0.9999  5 Ag 2.72-3.01, 4 Au 2.87-2.99, 2 Ga 3.04
Ag5 0.6788 0.6783 0.4999  5 Ag 2.72-3.01, 4 Au 2.87-2.99, 2 Ga 3.04
Ag6 0.7262 0.2738 0.7500  1 Ga 2.77, 6 Au 2.79-3.10, 4 Ag 2.99-3.00
Au1 0.0703 0.5906 0.7506  1 Ga 2.65, 3 Ag 2.79-2.88, 1 Au 2.86
Au2 0.4094 0.9297 0.7494  1 Ga 2.65, 3 Ag 2.79-2.88, 1 Au 2.86
Au3 0.5906 0.0703 0.2506  1 Ga 2.65, 3 Ag 2.79-2.88, 1 Au 2.86
Au4 0.9297 0.4094 0.2494  1 Ga 2.65, 3 Ag 2.79-2.88, 1 Au 2.86

2.
GaAg3Au2 after structural relaxation. Source: the Alexandria database, functional PBE-GGA.

a b c (Å): 2.8697 4.6302 8.0740
angles (deg): 90.00 90.00 90.00
With the nearest neighbours (Å) after each atom.
Fractional positions:
Ga1 0.0000 0.0000 0.0000  3 Ag 2.64, 2 Ga 2.87
Ag1 0.0000 0.0000 0.3267  1 Ga 2.64, 4 Ag 2.73-2.87
Ag2 0.0000 0.5000 0.5048  5 Ag 2.73-2.87, 4 Au 3.04
Ag3 0.0000 0.5000 0.8431  2 Ga 2.64, 3 Ag 2.73-2.87
Au1 0.5000 0.0000 0.6717  2 Au 2.87, 2 Ga 3.01, 10 Ag 3.04-3.13
Au2 0.5000 0.5000 0.1692  2 Au 2.87, 8 Ag 3.00-3.07, 4 Ga 3.05

Relative to the most stable one, in eV/atom, the structures come out at 1 0.036; 2 0.000.

1.
GaAg6Au5 after structural relaxation. Source: the Alexandria database, functional PBE-GGA.

a b c (Å): 6.5788 6.5788 5.0471
angles (deg): 97.79 97.79 84.22
With the nearest neighbours (Å) after each atom.
Fractional positions:
Ga1 0.0000 0.0000 0.0000  6 Au 2.91, 6 Ag 2.92-2.93
Ag1 0.0839 0.4141 0.2520  6 Ag 2.89-2.96, 5 Au 2.92-2.96, 1 Ga 2.92
Ag2 0.2504 0.2504 0.7578  6 Ag 2.89-2.96, 1 Ga 2.93, 5 Au 2.93-2.96
Ag3 0.4141 0.0839 0.2520  6 Ag 2.89-2.96, 5 Au 2.92-2.96, 1 Ga 2.92
Ag4 0.5859 0.9161 0.7480  6 Ag 2.89-2.96, 5 Au 2.92-2.96, 1 Ga 2.92
Ag5 0.7496 0.7496 0.2422  6 Ag 2.89-2.96, 1 Ga 2.93, 5 Au 2.93-2.96
Ag6 0.9161 0.5859 0.7480  6 Ag 2.89-2.96, 5 Au 2.92-2.96, 1 Ga 2.92
Au1 0.1643 0.8357 0.5000  4 Au 2.90-2.96, 2 Ga 2.91, 6 Ag 2.93-2.95
Au2 0.3301 0.6699 0.0000  1 Ga 2.91, 5 Au 2.92-3.00, 6 Ag 2.92-2.96
Au3 0.5000 0.5000 0.5000  6 Ag 2.93-2.96, 6 Au 2.93-2.96
Au4 0.6699 0.3301 0.0000  1 Ga 2.91, 5 Au 2.92-3.00, 6 Ag 2.92-2.96
Au5 0.8357 0.1643 0.5000  4 Au 2.90-2.96, 2 Ga 2.91, 6 Ag 2.93-2.95

2.
GaAg6Au5 after structural relaxation. Source: the Alexandria database, functional PBE-GGA.

a b c (Å): 7.7682 7.7682 4.0457
angles (deg): 104.92 104.92 104.98
With the nearest neighbours (Å) after each atom.
Fractional positions:
Ga1 0.0000 0.0000 0.0000  4 Au 2.80, 8 Ag 2.96-2.98
Ag1 0.0846 0.4184 0.2517  4 Ag 2.88-2.89, 7 Au 2.93-3.04, 1 Ga 2.98
Ag2 0.2542 0.2542 0.7551  4 Ag 2.88-2.89, 6 Au 2.92-2.97, 2 Ga 2.96-2.98
Ag3 0.4184 0.0846 0.2517  4 Ag 2.88-2.89, 7 Au 2.93-3.04, 1 Ga 2.98
Ag4 0.5816 0.9154 0.7483  4 Ag 2.88-2.89, 7 Au 2.93-3.04, 1 Ga 2.98
Ag5 0.7458 0.7458 0.2449  4 Ag 2.88-2.89, 6 Au 2.92-2.97, 2 Ga 2.96-2.98
Ag6 0.9154 0.5816 0.7483  4 Ag 2.88-2.89, 7 Au 2.93-3.04, 1 Ga 2.98
Au1 0.1574 0.8426 0.5000  2 Ga 2.80, 8 Ag 2.92-3.04, 2 Au 2.94
Au2 0.3302 0.6698 0.0000  4 Au 2.91-2.94, 8 Ag 2.93-2.97
Au3 0.5000 0.5000 0.5000  4 Au 2.91, 8 Ag 2.92-2.96
Au4 0.6698 0.3302 0.0000  4 Au 2.91-2.94, 8 Ag 2.93-2.97
Au5 0.8426 0.1574 0.5000  2 Ga 2.80, 8 Ag 2.92-3.04, 2 Au 2.94

Relative to the most stable one, in eV/atom, the structures come out at 1 0.011; 2 0.000.